! PBE-GGA LiZrAgI2, optimized geometry; values from VASP
&SYSTEM
  ibrav = 0, nat = 5, ntyp = 4
/
ATOMIC_SPECIES
I 126.90 I.upf
Zr 91.22 Zr.upf
Ag 107.87 Ag.upf
Li 6.94 Li.upf
CELL_PARAMETERS angstrom
5.7227 0.0000 0.0000
0.0000 4.5437 0.0000
0.0000 0.0000 5.7227
ATOMIC_POSITIONS crystal
I 0.0000 0.0000 0.5000
I 0.5000 0.0000 0.0000
Zr 0.5000 0.5000 0.5000
Ag 0.0000 0.0000 0.0000
Li 0.0000 0.5000 0.0000
! E above lowest polymorph = 30 meV/atom
! E_form (uncorrected) = 0.5080 eV/atom